i:
! meta-GGA SCAN SnSeNF2, single point on PBEsol structure; values from VASP
! Size of the total moment in μB per formula unit: 0.000
&SYSTEM
  ibrav = 0, nat = 5, ntyp = 4
/
ATOMIC_SPECIES
Sn 118.71 Sn.upf
Se 78.96 Se.upf
N 14.01 N.upf
F 19.00 F.upf
CELL_PARAMETERS angstrom
4.495 0.000 0.000
0.000 4.495 0.000
0.000 0.000 3.800
ATOMIC_POSITIONS crystal
Sn 0.000 0.000 0.000
Se 0.500 0.500 0.500
N 0.500 0.500 0.000
F 0.000 0.500 0.500
F 0.500 0.000 0.500

=====

ii:
! meta-GGA SCAN SnSeNF2, single point on PBEsol structure; values from VASP
! Size of the total moment in μB per formula unit: 0.480
&SYSTEM
  ibrav = 0, nat = 5, ntyp = 4
/
ATOMIC_SPECIES
Sn 118.71 Sn.upf
Se 78.96 Se.upf
N 14.01 N.upf
F 19.00 F.upf
CELL_PARAMETERS angstrom
4.095 0.000 0.000
0.000 4.095 0.000
0.000 0.000 4.207
ATOMIC_POSITIONS crystal
Sn 0.000 0.000 0.000
Se 0.500 0.500 0.500
N 0.000 0.000 0.500
F 0.000 0.500 0.000
F 0.500 0.000 0.000

=====

Least stable structure: i

=====

i:
! meta-GGA SCAN SiN2F6, single point on PBEsol structure; values from VASP
! Size of the total moment in μB per formula unit: 4.000
&SYSTEM
  ibrav = 0, nat = 9, ntyp = 3
/
ATOMIC_SPECIES
Si 28.09 Si.upf
N 14.01 N.upf
F 19.00 F.upf
CELL_PARAMETERS angstrom
0.000 3.625 3.625
3.625 0.000 3.625
3.625 3.625 0.000
ATOMIC_POSITIONS crystal
Si 0.000 0.000 0.000
N 0.250 0.250 0.250
N 0.750 0.750 0.750
F 0.234 0.234 0.766
F 0.234 0.766 0.234
F 0.234 0.766 0.766
F 0.766 0.234 0.234
F 0.766 0.234 0.766
F 0.766 0.766 0.234

=====

ii:
! meta-GGA SCAN SiN2F6, single point on PBEsol structure; values from VASP
! Size of the total moment in μB per formula unit: 4.000
&SYSTEM
  ibrav = 0, nat = 9, ntyp = 3
/
ATOMIC_SPECIES
Si 28.09 Si.upf
N 14.01 N.upf
F 19.00 F.upf
CELL_PARAMETERS angstrom
4.886 0.000 0.000
-2.443 4.232 0.000
0.000 0.000 4.800
ATOMIC_POSITIONS crystal
Si 0.000 0.000 0.000
N 0.333 0.667 0.245
N 0.667 0.333 0.755
F 0.161 0.323 0.790
F 0.161 0.839 0.790
F 0.323 0.161 0.210
F 0.677 0.839 0.790
F 0.839 0.161 0.210
F 0.839 0.677 0.210

=====

Least stable structure: i

=====

i:
! meta-GGA SCAN Te2NF, single point on PBEsol structure; values from VASP
! Size of the total moment in μB per formula unit: 0.000
&SYSTEM
  ibrav = 0, nat = 16, ntyp = 3
/
ATOMIC_SPECIES
Te 127.60 Te.upf
N 14.01 N.upf
F 19.00 F.upf
CELL_PARAMETERS angstrom
4.535 0.000 0.000
0.000 4.535 0.000
0.000 0.000 14.416
ATOMIC_POSITIONS crystal
Te 0.183 0.250 0.125
Te 0.250 0.683 0.375
Te 0.250 0.817 0.875
Te 0.317 0.250 0.625
Te 0.683 0.750 0.625
Te 0.750 0.183 0.875
Te 0.750 0.317 0.375
Te 0.817 0.750 0.125
N 0.000 0.000 0.000
N 0.000 0.500 0.250
N 0.500 0.000 0.750
N 0.500 0.500 0.500
F 0.000 0.000 0.500
F 0.000 0.500 0.750
F 0.500 0.000 0.250
F 0.500 0.500 0.000

=====

ii:
! meta-GGA SCAN Te2NF, single point on PBEsol structure; values from VASP
! Size of the total moment in μB per formula unit: 0.000
&SYSTEM
  ibrav = 0, nat = 12, ntyp = 3
/
ATOMIC_SPECIES
Te 127.60 Te.upf
N 14.01 N.upf
F 19.00 F.upf
CELL_PARAMETERS angstrom
3.193 0.000 0.000
-1.597 2.765 0.000
0.000 0.000 23.458
ATOMIC_POSITIONS crystal
Te 0.000 0.000 0.097
Te 0.000 0.000 0.903
Te 0.333 0.667 0.570
Te 0.333 0.667 0.763
Te 0.667 0.333 0.237
Te 0.667 0.333 0.430
N 0.000 0.000 0.500
N 0.333 0.667 0.167
N 0.667 0.333 0.833
F 0.000 0.000 0.000
F 0.333 0.667 0.667
F 0.667 0.333 0.333

=====

Least stable structure: ii

=====

i:
! meta-GGA SCAN ZnN2F2, single point on PBEsol structure; values from VASP
! Size of the total moment in μB per formula unit: 0.000
&SYSTEM
  ibrav = 0, nat = 10, ntyp = 3
/
ATOMIC_SPECIES
Zn 65.41 Zn.upf
N 14.01 N.upf
F 19.00 F.upf
CELL_PARAMETERS angstrom
4.487 0.000 0.000
0.000 4.487 0.000
0.000 0.000 5.126
ATOMIC_POSITIONS crystal
Zn 0.000 0.000 0.000
Zn 0.500 0.500 0.500
N 0.000 0.000 0.392
N 0.000 0.000 0.608
N 0.500 0.500 0.108
N 0.500 0.500 0.892
F 0.000 0.500 0.250
F 0.000 0.500 0.750
F 0.500 0.000 0.250
F 0.500 0.000 0.750

=====

ii:
! meta-GGA SCAN ZnN2F2, single point on PBEsol structure; values from VASP
! Size of the total moment in μB per formula unit: 4.036
&SYSTEM
  ibrav = 0, nat = 5, ntyp = 3
/
ATOMIC_SPECIES
Zn 65.41 Zn.upf
N 14.01 N.upf
F 19.00 F.upf
CELL_PARAMETERS angstrom
3.971 0.000 0.000
0.000 3.971 0.000
0.000 0.000 3.792
ATOMIC_POSITIONS crystal
Zn 0.000 0.000 0.000
N 0.000 0.500 0.000
N 0.500 0.000 0.000
F 0.000 0.000 0.500
F 0.500 0.500 0.500

=====

iii:
! meta-GGA SCAN ZnN2F2, single point on PBEsol structure; values from VASP
! Size of the total moment in μB per formula unit: 5.895
&SYSTEM
  ibrav = 0, nat = 5, ntyp = 3
/
ATOMIC_SPECIES
Zn 65.41 Zn.upf
N 14.01 N.upf
F 19.00 F.upf
CELL_PARAMETERS angstrom
4.001 0.000 0.000
0.000 4.001 0.000
0.000 0.000 3.974
ATOMIC_POSITIONS crystal
Zn 0.000 0.000 0.000
N 0.000 0.000 0.500
N 0.500 0.500 0.500
F 0.000 0.500 0.000
F 0.500 0.000 0.000

=====

Least stable structure: ii

=====

i:
! meta-GGA SCAN Na3TiF6, single point on PBEsol structure; values from VASP
! Size of the total moment in μB per formula unit: 1.000
&SYSTEM
  ibrav = 0, nat = 20, ntyp = 3
/
ATOMIC_SPECIES
Na 22.99 Na.upf
Ti 47.87 Ti.upf
F 19.00 F.upf
CELL_PARAMETERS angstrom
5.525 0.000 0.000
0.000 5.758 0.000
-5.416 0.000 7.987
ATOMIC_POSITIONS crystal
Na 0.000 0.000 0.000
Na 0.000 0.500 0.500
Na 0.224 0.059 0.742
Na 0.224 0.441 0.242
Na 0.776 0.559 0.758
Na 0.776 0.941 0.258
Ti 0.500 0.000 0.500
Ti 0.500 0.500 0.000
F 0.154 0.179 0.446
F 0.154 0.321 0.946
F 0.253 0.719 0.423
F 0.253 0.781 0.923
F 0.394 0.062 0.271
F 0.394 0.438 0.771
F 0.606 0.562 0.229
F 0.606 0.938 0.729
F 0.747 0.219 0.077
F 0.747 0.281 0.577
F 0.846 0.679 0.054
F 0.846 0.821 0.554

=====

ii:
! meta-GGA SCAN Na3TiF6, single point on PBEsol structure; values from VASP
! Size of the total moment in μB per formula unit: 1.000
&SYSTEM
  ibrav = 0, nat = 10, ntyp = 3
/
ATOMIC_SPECIES
Na 22.99 Na.upf
Ti 47.87 Ti.upf
F 19.00 F.upf
CELL_PARAMETERS angstrom
0.000 4.106 4.106
4.106 0.000 4.106
4.106 4.106 0.000
ATOMIC_POSITIONS crystal
Na 0.000 0.000 0.000
Na 0.250 0.250 0.250
Na 0.750 0.750 0.750
Ti 0.500 0.500 0.500
F 0.262 0.262 0.738
F 0.262 0.738 0.262
F 0.262 0.738 0.738
F 0.738 0.262 0.262
F 0.738 0.262 0.738
F 0.738 0.738 0.262

=====

Least stable structure: ii

=====

i:
! meta-GGA SCAN NbSeOF2, single point on PBEsol structure; values from VASP
! Size of the total moment in μB per formula unit: 3.177
&SYSTEM
  ibrav = 0, nat = 5, ntyp = 4
/
ATOMIC_SPECIES
Nb 92.91 Nb.upf
Se 78.96 Se.upf
O 16.00 O.upf
F 19.00 F.upf
CELL_PARAMETERS angstrom
4.512 0.000 0.000
0.000 4.512 0.000
0.000 0.000 3.778
ATOMIC_POSITIONS crystal
Nb 0.000 0.000 0.000
Se 0.500 0.500 0.500
O 0.500 0.500 0.000
F 0.000 0.500 0.500
F 0.500 0.000 0.500

=====

ii:
! meta-GGA SCAN NbSeOF2, single point on PBEsol structure; values from VASP
! Size of the total moment in μB per formula unit: 0.999
&SYSTEM
  ibrav = 0, nat = 5, ntyp = 4
/
ATOMIC_SPECIES
Nb 92.91 Nb.upf
Se 78.96 Se.upf
O 16.00 O.upf
F 19.00 F.upf
CELL_PARAMETERS angstrom
4.237 0.000 0.000
0.000 4.237 0.000
0.000 0.000 3.930
ATOMIC_POSITIONS crystal
Nb 0.000 0.000 0.000
Se 0.500 0.500 0.500
O 0.000 0.000 0.500
F 0.000 0.500 0.000
F 0.500 0.000 0.000

=====

Least stable structure: i